[1]
Density functional theory data (meta-GGA SCAN) for a crystal of AlTlTe2 relaxed with PBEsol.

```
AlTlTe2
1.0
3.6188 0.0000 0.0000
0.0000 3.6188 0.0000
0.0000 0.0000 7.9591
Tl Te Al
1 2 1
Direct
0.5000 0.5000 0.0000
0.0000 0.0000 0.2891
0.0000 0.0000 0.7109
0.5000 0.5000 0.5000
```

* E: -154.5 eV/cell
* formation energy from raw total energies: 3.5 kJ per mole of atoms
* calculated density: 7.75 g/cm3

=====

[2]
Density functional theory data (meta-GGA SCAN) for a crystal of ZnOsBr2 relaxed with PBEsol.

```
ZnOsBr2
1.0
-0.0629 -3.4018 -1.5793
4.3928 -1.0185 2.0191
-4.9200 -1.6827 3.8206
Br Zn Os
2 1 1
Direct
0.0000 0.1333 0.7676
0.0000 0.8667 0.2324
0.5000 0.5000 0.5000
0.5000 0.0000 0.5000
```

* E: -123.1 eV/cell
* relative energy among the computed polymorphs: 139 meV/atom
* formation energy from raw total energies: 30.1 kJ per mole of atoms
* calculated density: 6.24 g/cm3

=====

[3]
Density functional theory data (meta-GGA SCAN) for a crystal of ScAlTc2 relaxed with PBEsol.

```
ScAlTc2
1.0
-1.5145 0.9234 -2.6729
0.4248 -4.1566 -1.6767
-3.1709 0.5379 3.9075
Sc Tc Al
1 2 1
Direct
0.0000 0.5000 0.0000
0.7510 0.7510 0.5020
0.2490 0.2490 0.4980
0.5000 0.0000 0.0000
```

* energy of formation from the pure elements: -0.194 eV/atom
* E: -92.9 eV/cell
* relative energy among the computed polymorphs: 190 meV/atom
* calculated density: 7.27 g/cm3